1.
Material: PuGa4Cu2Au
Method: DFT, PBE-GGA
State: optimized geometry

Structure (extended XYZ):
```
8
Lattice="-2.8982 -3.0410 0.6865 0.9032 -3.2552 2.5897 -3.9259 2.5988 8.1342" Properties=species:S:1:pos:R:3 pbc="T T T"
Ga -3.9664 -0.3995 7.8777
Ga -3.1705 -4.6029 5.8148
Ga -1.9544 -3.2980 3.5326
Ga -2.7504 0.9054 5.5956
Au -2.9604 -1.8487 5.7052
Cu -4.4707 -2.7298 8.6227
Cu -1.4501 -0.9677 2.7876
Pu 0.0000 0.0000 0.0000
```

- uncorrected energy (eV/atom) = -4.912
- ΔE_f (eV/atom) = -0.17
- total magnetization (μB/atom) = 0.670
- calculated density (g/cm3) = 9.88


2.
Material: Ac2NdPb2
Method: DFT, PBE-GGA
State: optimized geometry

Structure (extended XYZ):
```
10
Lattice="-1.9576 -1.4813 4.2545 7.9414 -0.8177 3.3693 -0.3078 8.2212 2.7208" Properties=species:S:1:pos:R:3 pbc="T T T"
Ac 1.2953 1.2563 1.0334
Ac 6.3383 6.1473 5.0567
Ac 2.4170 5.2355 2.9350
Ac 5.2166 2.1680 3.1551
Nd -1.1327 3.3700 3.4877
Nd 2.9919 -1.1495 3.8119
Pb 5.8597 -0.3499 5.4098
Pb -0.1837 6.2721 4.9348
Pb 3.8586 3.9509 5.9865
Pb 1.8174 1.9713 4.3581
```

- uncorrected energy (eV/atom) = -4.590
- ΔE_f (eV/atom) = -0.51
- total magnetization (μB/atom) = 0.001
- calculated density (g/cm3) = 9.12


3.
Material: Cs8RbHg2
Method: DFT, PBE-GGA
State: optimized geometry

Structure (extended XYZ):
```
11
Lattice="-2.9077 4.9229 -0.9772 -8.0590 -3.1926 7.8972 12.8204 5.4321 6.4326" Properties=species:S:1:pos:R:3 pbc="T T T"
Hg 3.1252 6.3385 5.4181
Hg -1.2715 0.8240 7.9345
Cs 6.7221 4.8015 4.1865
Cs 6.6096 8.7064 6.9789
Cs 4.5759 4.4432 8.7679
Cs -4.8684 2.3610 9.1661
Cs -4.7559 -1.5440 6.3736
Cs -2.7222 2.7193 4.5847
Cs 2.2242 2.2859 4.8975
Cs -0.3705 4.8766 8.4551
Rb -1.4539 2.4614 -0.4886
```

- uncorrected energy (eV/atom) = -0.842
- ΔE_f (eV/atom) = -0.08
- total magnetization (μB/atom) = 0.000
- calculated density (g/cm3) = 2.74


4.
Material: POs2Pt
Method: DFT, PBE-GGA
State: optimized geometry

Structure (extended XYZ):
```
8
Lattice="5.2678 0.0000 0.0000 0.0000 5.2678 0.0000 2.6339 2.6339 5.7187" Properties=species:S:1:pos:R:3 pbc="T T T"
Pt 0.0000 0.0000 0.0000
Pt 5.2678 2.6339 2.8593
Os 6.5847 6.3938 4.2890
Os 1.5079 3.9508 1.4297
Os 3.9508 4.1418 4.2890
Os 3.7599 1.3169 1.4297
P 2.6339 2.6339 0.0000
P 2.6339 5.2678 2.8593
```

- uncorrected energy (eV/atom) = -7.766
- ΔE_f (eV/atom) = 0.71
- total magnetization (μB/atom) = 0.000
- calculated density (g/cm3) = 12.69


5.
Material: LaAlGa2Ru
Method: DFT, PBE-GGA
State: optimized geometry

Structure (extended XYZ):
```
5
Lattice="4.7756 0.0000 0.0000 0.0000 4.7756 0.0000 0.0000 0.0000 4.7035" Properties=species:S:1:pos:R:3 pbc="T T T"
Ga 0.0000 2.3878 0.0000
Ga 2.3878 0.0000 0.0000
Ru 0.0000 0.0000 0.0000
La 2.3878 2.3878 2.3517
Al 0.0000 0.0000 2.3517
```

- uncorrected energy (eV/atom) = -5.291
- ΔE_f (eV/atom) = -0.49
- total magnetization (μB/atom) = 0.000
- calculated density (g/cm3) = 6.29


6.
Material: KPdN2
Method: DFT, PBE-GGA
State: optimized geometry

Structure (extended XYZ):
```
4
Lattice="0.0000 2.9406 2.9406 2.9406 0.0000 2.9406 2.9406 2.9406 0.0000" Properties=species:S:1:pos:R:3 pbc="T T T"
Pd 2.9406 2.9406 2.9406
K 0.0000 0.0000 0.0000
N 1.4703 1.4703 1.4703
N 4.4109 4.4109 4.4109
```

- uncorrected energy (eV/atom) = -4.023
- total magnetization (μB/atom) = 0.000
- calculated density (g/cm3) = 5.67
- E_form (uncorrected) (eV per atom) = 1.71


7.
Material: Ti5In2TcNi2
Method: DFT, PBE-GGA
State: optimized geometry

Structure (extended XYZ):
```
20
Lattice="3.0798 0.0000 0.0000 0.0000 10.4078 0.0000 0.0000 0.0000 10.4078" Properties=species:S:1:pos:R:3 pbc="T T T"
Tc 0.0000 5.2039 5.2039
Tc 0.0000 0.0000 0.0000
Ni 0.0000 9.0716 3.8677
Ni 0.0000 6.5401 9.0716
Ni 0.0000 1.3362 6.5401
Ni 0.0000 3.8677 1.3362
Ti 1.5399 7.2427 4.5825
Ti 1.5399 8.3690 9.7865
Ti 1.5399 5.2039 0.0000
Ti 1.5399 9.7865 2.0388
Ti 1.5399 0.0000 5.2039
Ti 1.5399 3.1651 5.8253
Ti 1.5399 2.0388 0.6214
Ti 1.5399 4.5825 3.1651
Ti 1.5399 5.8253 7.2427
Ti 1.5399 0.6214 8.3690
In 0.0000 1.8501 3.3538
In 0.0000 3.3538 8.5577
In 0.0000 7.0540 1.8501
In 0.0000 8.5577 7.0540
```

- uncorrected energy (eV/atom) = -6.948
- ΔE_f (eV/atom) = -0.26
- total magnetization (μB/atom) = 0.000
- calculated density (g/cm3) = 6.81


8.
Material: LiMn3Sb
Method: DFT, PBE-GGA
State: optimized geometry

Structure (extended XYZ):
```
5
Lattice="5.0394 0.0000 0.0000 0.0000 5.0394 0.0000 0.0000 0.0000 5.0394" Properties=species:S:1:pos:R:3 pbc="T T T"
Mn 0.0000 0.0000 2.5197
Mn 2.5197 0.0000 0.0000
Mn 0.0000 2.5197 0.0000
Sb 0.0000 0.0000 0.0000
Li 2.5197 2.5197 2.5197
```

- uncorrected energy (eV/atom) = -5.806
- total magnetization (μB/atom) = 2.224
- calculated density (g/cm3) = 3.81
- E_form (uncorrected) (eV per atom) = 0.90